A relaxed LiCa2Cl crystal. Source: Alexandria, functional PBE.

The structure in POSCAR format:
```
LiCa2Cl
1.0
-4.841 -6.328 -0.452
-0.248 -0.379 7.967
-5.837 -0.836 3.775
Ca Li Cl
4 2 2
direct
0.662 0.125 0.250
0.088 0.625 0.250
0.375 0.338 0.750
0.875 0.912 0.750
0.500 0.500 0.000
0.250 0.750 0.500
0.000 0.000 0.000
0.750 0.250 0.500
```

Values from the calculation:
- D(E_F): 0.277 states/eV per atom
- Calculated density: 1.54 g cm⁻³
- Offset from the most stable computed form: 0.144 eV per atom

=====

A relaxed Li4CaCl crystal. Source: Alexandria, functional PBE.

The structure in POSCAR format:
```
Li4CaCl
1.0
0.000 4.223 4.223
4.223 0.000 4.223
4.223 4.223 0.000
Li Ca Cl
4 1 1
direct
0.875 0.375 0.375
0.375 0.375 0.875
0.375 0.875 0.375
0.375 0.375 0.375
0.750 0.750 0.750
0.000 0.000 0.000
```

Values from the calculation:
- Energy: -12.53 eV per formula unit
- D(E_F): 0.491 states/eV per atom
- Calculated density: 1.14 g cm⁻³

=====

A relaxed Li2CaCl crystal. Source: Alexandria, functional PBE.

The structure in POSCAR format:
```
Li2CaCl
1.0
-1.306 1.609 2.657
-1.942 -2.673 0.664
6.274 -3.297 5.080
Ca Cl Li
1 1 2
direct
0.500 0.500 0.250
0.500 0.500 0.750
0.000 0.000 0.922
0.000 0.000 0.578
```

Values from the calculation:
- D(E_F): 0.681 states/eV per atom
- Calculated density: 1.50 g cm⁻³
- Offset from the most stable computed form: 0.112 eV per atom

=====

A relaxed LiCa2Cl crystal. Source: Alexandria, functional PBE.

The structure in POSCAR format:
```
LiCa2Cl
1.0
3.780 0.007 0.000
-1.798 3.325 0.000
0.000 0.000 9.814
Ca Cl Li
2 1 1
direct
0.000 0.000 0.986
0.500 0.500 0.304
0.000 0.000 0.521
0.500 0.500 0.689
```

Values from the calculation:
- D(E_F): 0.586 states/eV per atom
- Calculated density: 1.65 g cm⁻³
- Offset from the most stable computed form: 0.019 eV per atom

=====

A relaxed Li2CaCl crystal. Source: Alexandria, functional PBE.

The structure in POSCAR format:
```
Li2CaCl
1.0
3.627 0.000 0.000
0.000 4.215 -0.001
0.000 2.105 6.274
Ca Cl Li
1 1 2
direct
0.000 0.539 0.545
0.500 0.959 0.707
0.000 0.794 0.039
0.500 0.208 0.209
```

Values from the calculation:
- D(E_F): 0.552 states/eV per atom
- Calculated density: 1.55 g cm⁻³
- Offset from the most stable computed form: 0.064 eV per atom

=====

A relaxed Li2CaCl crystal. Source: Alexandria, functional PBE.

The structure in POSCAR format:
```
Li2CaCl
1.0
6.065 0.003 0.000
2.879 5.339 0.000
-4.472 -2.671 3.107
Ca Cl Li
1 1 2
direct
0.500 0.500 0.000
0.750 0.250 0.500
0.000 0.000 0.000
0.250 0.750 0.500
```

Values from the calculation:
- D(E_F): 0.291 states/eV per atom
- Calculated density: 1.48 g cm⁻³
- Offset from the most stable computed form: 0.323 eV per atom

=====

A relaxed Li2CaCl crystal. Source: Alexandria, functional PBE.

The structure in POSCAR format:
```
Li2CaCl
1.0
-2.405 2.162 2.925
3.058 -5.413 3.254
3.113 1.380 1.515
Ca Cl Li
1 1 2
direct
0.000 0.500 0.500
0.500 0.500 0.000
0.000 0.000 0.000
0.500 0.000 0.500
```

Values from the calculation:
- D(E_F): 0.453 states/eV per atom
- Calculated density: 1.43 g cm⁻³
- Offset from the most stable computed form: 0.131 eV per atom

=====

A relaxed LiCaCl4 crystal. Source: Alexandria, functional PBE.

The structure in POSCAR format:
```
LiCaCl4
1.0
0.000 4.268 4.268
4.268 0.000 4.268
4.268 4.268 0.000
Li Ca Cl
1 1 4
direct
0.750 0.750 0.750
0.000 0.000 0.000
0.875 0.375 0.375
0.375 0.375 0.875
0.375 0.875 0.375
0.375 0.375 0.375
```

Values from the calculation:
- Energy: -15.03 eV per formula unit
- D(E_F): 0.683 states/eV per atom
- Calculated density: 2.02 g cm⁻³

=====

A relaxed LiCaCl2 crystal. Source: Alexandria, functional PBE.

The structure in POSCAR format:
```
LiCaCl2
1.0
3.754 0.000 0.000
0.000 6.625 0.000
0.000 0.000 3.909
Ca Cl Li
1 2 1
direct
0.000 0.500 0.500
0.000 0.000 0.000
0.500 0.500 0.000
0.500 0.000 0.500
```

Values from the calculation:
- D(E_F): 0.361 states/eV per atom
- Calculated density: 2.01 g cm⁻³
- Offset from the most stable computed form: 0.174 eV per atom

=====

A relaxed Li2CaCl crystal. Source: Alexandria, functional PBE.

The structure in POSCAR format:
```
Li2CaCl
1.0
6.207 -0.035 0.021
2.054 5.857 -0.021
-3.072 -4.412 3.102
Ca Cl Li
1 1 2
direct
0.555 0.555 0.000
0.768 0.268 0.500
0.940 0.940 0.000
0.238 0.738 0.500
```

Values from the calculation:
- D(E_F): 0.477 states/eV per atom
- Calculated density: 1.32 g cm⁻³
- Offset from the most stable computed form: 0.135 eV per atom

=====

A relaxed LiCaCl2 crystal. Source: Alexandria, functional PBE.

The structure in POSCAR format:
```
LiCaCl2
1.0
-3.613 -1.029 -1.873
3.163 -2.478 1.217
-3.394 -0.878 7.029
Ca Cl Li
1 2 1
direct
0.500 0.500 0.750
0.000 0.000 0.035
0.000 0.000 0.465
0.500 0.500 0.250
```

Values from the calculation:
- D(E_F): 0.332 states/eV per atom
- Calculated density: 1.83 g cm⁻³
- Offset from the most stable computed form: 0.030 eV per atom

=====

A relaxed Li3CaCl crystal. Source: Alexandria, functional PBE.

The structure in POSCAR format:
```
Li3CaCl
1.0
-2.360 3.798 -4.372
-2.094 -4.962 -3.179
-5.399 0.264 3.144
Ca Li Cl
1 3 1
direct
0.000 0.000 0.000
0.000 0.500 0.000
0.000 0.000 0.500
0.500 0.000 0.000
0.500 0.500 0.500
```

Values from the calculation:
- D(E_F): 0.849 states/eV per atom
- Calculated density: 0.65 g cm⁻³
- Offset from the most stable computed form: 0.947 eV per atom